The following is a GGA+U calculation of a relaxed structure of SmCoPO, from the Open Quantum Materials Database.

The total energy comes out at -6.4184 eV/atom. As for the calculated volume: 153.2 Å³/cell.

It has space group Pmc2_1 (No. 26), with a = 4.336 Å, b = 6.086 Å, c = 5.807 Å, α = 90.00°, β = 90.00° and γ = 90.00°. The distinct sites, in fractional coordinates, are Sm at (0.000, 0.237, 0.000), Co at (0.500, 0.360, 0.609), P at (0.000, 0.233, 0.501) and O at (0.500, 0.346, 0.962).